Run a
Tl2OsPt | PBE | relaxed

Geometry as CIF:
```
data_Tl2OsPt
_chemical_formula_sum 'Tl2 Os1 Pt1'
_cell_length_a 4.7893
_cell_length_b 4.7893
_cell_length_c 4.7893
_cell_angle_alpha 60.00
_cell_angle_beta 60.00
_cell_angle_gamma 60.00
_space_group_name_H-M_alt 'P 1'
_space_group_IT_number 1
_space_group_name_Hall 'P 1'
loop_
_atom_site_label
_atom_site_fract_x
_atom_site_fract_y
_atom_site_fract_z
Tl1 0.0000 0.0000 0.0000
Tl2 0.2500 0.2500 0.2500
Os1 0.5000 0.5000 0.5000
Pt1 0.7500 0.7500 0.7500
```

N(E_F): 0.80 states/eV/atom
Crystal system: cubic
Size of the total moment: 0.531 μB per formula unit

Run b
Tl2OsPt | PBE | relaxed

Geometry as CIF:
```
data_Tl2OsPt
_chemical_formula_sum 'Tl2 Os1 Pt1'
_cell_length_a 3.4193
_cell_length_b 3.4193
_cell_length_c 6.4242
_cell_angle_alpha 90.00
_cell_angle_beta 90.00
_cell_angle_gamma 90.00
_space_group_name_H-M_alt 'P 1'
_space_group_IT_number 1
_space_group_name_Hall 'P 1'
loop_
_atom_site_label
_atom_site_fract_x
_atom_site_fract_y
_atom_site_fract_z
Tl1 0.0000 0.0000 0.2452
Tl2 0.0000 0.0000 0.7548
Os1 0.5000 0.5000 0.0000
Pt1 0.5000 0.5000 0.5000
```

N(E_F): 0.36 states/eV/atom
Crystal system: tetragonal
Size of the total moment: 0.000 μB per formula unit

Energy ordering: run b at the bottom, the next structure 0.225 eV/atom above.

Run a
TlOsPt2 | PBE | relaxed

Geometry as CIF:
```
data_TlOsPt2
_chemical_formula_sum 'Tl1 Os1 Pt2'
_cell_length_a 3.3627
_cell_length_b 3.3627
_cell_length_c 6.0874
_cell_angle_alpha 90.00
_cell_angle_beta 90.00
_cell_angle_gamma 90.00
_space_group_name_H-M_alt 'P 1'
_space_group_IT_number 1
_space_group_name_Hall 'P 1'
loop_
_atom_site_label
_atom_site_fract_x
_atom_site_fract_y
_atom_site_fract_z
Tl1 0.0000 0.0000 0.0000
Os1 0.5000 0.5000 0.2904
Pt1 0.0000 0.0000 0.4902
Pt2 0.5000 0.5000 0.7409
```

N(E_F): 1.23 states/eV/atom
Crystal system: tetragonal
Size of the total moment: 0.001 μB per formula unit

Run b
TlOsPt2 | PBE | relaxed

Geometry as CIF:
```
data_TlOsPt2
_chemical_formula_sum 'Tl2 Os2 Pt4'
_cell_length_a 8.5074
_cell_length_b 8.5074
_cell_length_c 8.5074
_cell_angle_alpha 146.80
_cell_angle_beta 146.80
_cell_angle_gamma 47.66
_space_group_name_H-M_alt 'P 1'
_space_group_IT_number 1
_space_group_name_Hall 'P 1'
loop_
_atom_site_label
_atom_site_fract_x
_atom_site_fract_y
_atom_site_fract_z
Tl1 0.0000 0.0000 0.0000
Tl2 0.7500 0.2500 0.5000
Os1 0.2500 0.7500 0.5000
Os2 0.5000 0.5000 0.0000
Pt1 0.1985 0.6250 0.0735
Pt2 0.3750 0.4485 0.5735
Pt3 0.5515 0.1250 0.9265
Pt4 0.8750 0.8015 0.4265
```

N(E_F): 0.86 states/eV/atom
Crystal system: tetragonal
Size of the total moment: 0.000 μB per formula unit

Run c
TlOsPt2 | PBE | relaxed

Geometry as CIF:
```
data_TlOsPt2
_chemical_formula_sum 'Tl1 Os1 Pt2'
_cell_length_a 2.7915
_cell_length_b 3.6941
_cell_length_c 7.1063
_cell_angle_alpha 90.00
_cell_angle_beta 99.44
_cell_angle_gamma 90.00
_space_group_name_H-M_alt 'P 1'
_space_group_IT_number 1
_space_group_name_Hall 'P 1'
loop_
_atom_site_label
_atom_site_fract_x
_atom_site_fract_y
_atom_site_fract_z
Tl1 0.0000 0.0000 0.0000
Os1 0.0000 0.0000 0.5000
Pt1 0.4083 0.5000 0.2968
Pt2 0.5917 0.5000 0.7032
```

N(E_F): 0.98 states/eV/atom
Crystal system: monoclinic
Size of the total moment: 0.000 μB per formula unit

Run d
TlOsPt2 | PBE | relaxed

Geometry as CIF:
```
data_TlOsPt2
_chemical_formula_sum 'Tl1 Os1 Pt2'
_cell_length_a 3.9749
_cell_length_b 3.9749
_cell_length_c 4.2523
_cell_angle_alpha 90.00
_cell_angle_beta 90.00
_cell_angle_gamma 90.00
_space_group_name_H-M_alt 'P 1'
_space_group_IT_number 1
_space_group_name_Hall 'P 1'
loop_
_atom_site_label
_atom_site_fract_x
_atom_site_fract_y
_atom_site_fract_z
Tl1 0.0000 0.0000 0.0000
Os1 0.5000 0.5000 0.0000
Pt1 0.0000 0.5000 0.5000
Pt2 0.5000 0.0000 0.5000
```

N(E_F): 1.17 states/eV/atom
Crystal system: tetragonal
Size of the total moment: 0.000 μB per formula unit

Energy ordering: run c at the bottom, the next structure 0.133 eV/atom above.

Run a
TlOsPt2 | PBE | relaxed

Geometry as CIF:
```
data_TlOsPt2
_chemical_formula_sum 'Tl1 Os1 Pt2'
_cell_length_a 9.6089
_cell_length_b 9.6089
_cell_length_c 9.6089
_cell_angle_alpha 17.36
_cell_angle_beta 17.36
_cell_angle_gamma 17.36
_space_group_name_H-M_alt 'P 1'
_space_group_IT_number 1
_space_group_name_Hall 'P 1'
loop_
_atom_site_label
_atom_site_fract_x
_atom_site_fract_y
_atom_site_fract_z
Tl1 0.0000 0.0000 0.0000
Os1 0.5000 0.5000 0.5000
Pt1 0.2426 0.2426 0.2426
Pt2 0.7574 0.7574 0.7574
```

N(E_F): 0.38 states/eV/atom
Crystal system: trigonal
Size of the total moment: 0.000 μB per formula unit

Run b
TlOsPt2 | PBE | relaxed

Geometry as CIF:
```
data_TlOsPt2
_chemical_formula_sum 'Tl1 Os1 Pt2'
_cell_length_a 5.7018
_cell_length_b 5.7018
_cell_length_c 5.7018
_cell_angle_alpha 151.49
_cell_angle_beta 128.50
_cell_angle_gamma 59.92
_space_group_name_H-M_alt 'P 1'
_space_group_IT_number 1
_space_group_name_Hall 'P 1'
loop_
_atom_site_label
_atom_site_fract_x
_atom_site_fract_y
_atom_site_fract_z
Tl1 0.0000 0.0000 0.0000
Os1 0.2566 0.7566 0.5000
Pt1 0.4847 0.4847 0.0000
Pt2 0.7380 0.2380 0.5000
```

N(E_F): 0.88 states/eV/atom
Crystal system: orthorhombic
Size of the total moment: 0.000 μB per formula unit

Energy ordering: run a at the bottom, the next structure 0.087 eV/atom above.